(1)
Computed, not measured: crystalline SiRuOF2 at its relaxed geometry at the PBE-GGA level of DFT.

Cell and atoms, written as extended XYZ:
```
5
Lattice="-0.937 -4.189 -0.707 4.207 -1.015 0.436 -0.500 -0.505 3.652" Properties=species:S:1:pos:R:3 pbc="T T T"
O -0.250 -0.252 1.826
F 2.104 -0.507 0.218
F -0.469 -2.094 -0.354
Ru 0.000 0.000 0.000
Si 1.385 -2.854 1.691
```

Values from the calculation:
- E_form (uncorrected) (meV/atom) = -499

(2)
Computed, not measured: crystalline SiRuOF2 at its relaxed geometry at the PBE-GGA level of DFT.

Cell and atoms, written as extended XYZ:
```
5
Lattice="-0.578 -0.726 4.249 4.285 -0.563 0.487 0.357 3.239 0.602" Properties=species:S:1:pos:R:3 pbc="T T T"
O 0.179 1.620 0.301
F 2.142 -0.282 0.243
Ru 2.032 0.975 2.669
Si 0.000 0.000 0.000
F -0.289 -0.363 2.124
```

Values from the calculation:
- E_form (uncorrected) (meV/atom) = -715

(3)
Computed, not measured: crystalline SmRuO4F at its relaxed geometry at the PBE-GGA level of DFT.

Cell and atoms, written as extended XYZ:
```
14
Lattice="6.088 -0.208 -0.002 1.821 5.813 -0.002 1.617 1.146 6.766" Properties=species:S:1:pos:R:3 pbc="T T T"
O 6.183 5.998 5.797
Sm 6.464 4.582 0.661
O 6.666 4.724 3.117
F 9.150 6.485 5.579
O 2.860 2.027 3.644
F 0.376 0.266 1.182
O 3.343 0.754 0.964
O 7.707 3.847 5.797
O 1.819 2.904 0.964
Ru 3.233 2.292 1.952
O 4.655 3.299 1.701
Ru 6.293 4.460 4.809
Sm 3.061 2.170 6.100
O 4.871 3.452 5.060
```

Values from the calculation:
- E_form (uncorrected) (meV/atom) = -2018